{"formula": "Ba2InCo", "functional": "GGA-PBE", "state": "relaxed", "dos_at_fermi_per_ev_cell": 12.40, "e_form_kj_per_mol_atoms": 9.1, "sg": "I-42d (122)", "cell": [[-4.756, 10.397, 0.416], [-8.410, -4.111, 6.576], [-5.234, 3.678, 5.556]], "species": ["Co", "Ba", "Co", "In", "In", "Ba", "Ba", "Ba"], "frac_coords": [[0.250, 0.750, 0.500], [0.446, 0.125, 0.250], [0.500, 0.500, 0.000], [0.750, 0.250, 0.500], [0.000, 0.000, 0.000], [0.375, 0.554, 0.750], [0.875, 0.696, 0.750], [0.304, 0.625, 0.250]]}